1.
## Cd3TeO (GGA-PBE)

Data for crystalline Cd3TeO at its relaxed geometry.

```
5
Lattice="4.8010 0.0000 0.0000 0.0000 4.8010 0.0000 0.0000 0.0000 4.8010" Properties=species:S:1:pos:R:3 pbc="T T T"
Cd 0.0000 0.0000 2.4005
Cd 0.0000 2.4005 0.0000
Cd 2.4005 0.0000 0.0000
Te 2.4005 2.4005 2.4005
O 0.0000 0.0000 0.0000
```

Output
The space group is Pm-3m (221). The value obtained for the density of states at the Fermi level is 1.330 states/eV/cell. The raw total energy comes out at -2.42 eV per atom. The density comes out at 7.2 Mg/m³. For the size of the total moment, the calculation gives 0.0 μB per cell. The calculation puts the formation energy from raw total energies at -5.811 kcal/mol of atoms.

2.
## Cd2Te2O7 (GGA-PBE)

Data for crystalline Cd2Te2O7 at its relaxed geometry.

```
11
Lattice="3.4793 -4.7622 0.0000 3.4793 4.7622 0.0000 -0.6355 0.0000 5.7466" Properties=species:S:1:pos:R:3 pbc="T T T"
Cd 3.4793 2.8843 0.0000
Cd 3.4793 -2.8843 0.0000
Te 1.2490 0.0000 3.5539
Te 5.0742 0.0000 2.1926
O 0.1156 0.0000 1.6581
O 1.3614 1.5441 4.6670
O 1.3614 -1.5441 4.6670
O 3.1616 0.0000 2.8733
O 4.9618 1.5441 1.0796
O 4.9618 -1.5441 1.0796
O 6.2075 0.0000 4.0884
```

Output
The space group is C2/m (12). The raw total energy comes out at -4.85 eV per atom. The density comes out at 5.2 Mg/m³. For the size of the total moment, the calculation gives 0.0 μB per cell. The calculation puts the formation energy from raw total energies at -22.172 kcal/mol of atoms.

3.
## Cd2Te2O7 (GGA-PBE)

Data for crystalline Cd2Te2O7 at its relaxed geometry.

```
44
Lattice="7.5510 0.0000 0.0000 1.8984 8.3060 0.0000 1.9578 0.2246 9.8948" Properties=species:S:1:pos:R:3 pbc="T T T"
Cd 0.0000 0.0000 0.0000
Cd 3.8425 3.0987 8.8214
Cd 3.8387 4.1886 4.8757
Cd 3.7221 5.1945 1.1135
Cd 3.7755 0.0000 0.0000
Cd 7.6850 3.3361 8.7814
Cd 7.5684 4.3420 5.0192
Cd 7.5646 5.4319 1.0734
Te 1.8936 1.5704 6.3808
Te 1.8730 2.2553 2.3380
Te 5.7293 6.2055 7.6262
Te 5.7301 7.5192 3.4712
Te 5.6771 1.0114 6.4237
Te 5.6778 2.3251 2.2686
Te 9.5342 6.2753 7.5569
Te 9.5135 6.9602 3.5140
O 1.9023 6.8178 1.5975
O 1.8031 2.9886 4.1113
O 1.6012 3.8541 1.3309
O 3.8693 6.8852 7.4359
O 3.5081 5.8004 3.3753
O 1.9773 1.2740 0.6786
O 2.3292 0.4687 3.2866
O 3.5640 2.5613 6.3788
O 5.8359 7.2402 9.2345
O 3.7716 2.7998 2.2266
O 5.5286 4.6308 8.7763
O 6.1806 7.9501 6.5358
O 5.6041 5.2685 5.9788
O 5.6925 1.6976 8.1792
O 5.7147 6.8330 1.7156
O 5.8030 3.2621 3.9161
O 5.2265 0.5805 3.3590
O 5.8785 3.8998 1.1185
O 7.6355 5.7308 7.6682
O 5.5712 1.2904 0.6603
O 7.8431 5.9693 3.5161
O 9.0779 8.0619 6.6083
O 9.4298 7.2566 9.2162
O 7.8990 2.7302 6.5196
O 7.5379 1.6454 2.4590
O 9.8060 4.6765 8.5639
O 9.6040 5.5420 5.7836
O 9.5048 1.7128 8.2973
```

Output
The space group is P-1 (2). The value obtained for the density of states at the Fermi level is 0.000 states/eV/cell. The raw total energy comes out at -4.97 eV per atom. The density comes out at 6.3 Mg/m³. For the size of the total moment, the calculation gives 0.0 μB per cell. The calculation puts the formation energy from raw total energies at -24.733 kcal/mol of atoms.

4.
## CdTeO2 (GGA-PBE)

Data for crystalline CdTeO2 at its relaxed geometry.

```
4
Lattice="1.6896 0.9755 6.5963 -1.6896 0.9755 6.5963 0.0000 -1.9510 6.5963" Properties=species:S:1:pos:R:3 pbc="T T T"
Cd 0.0000 0.0000 0.0000
Te 0.0000 0.0000 9.8945
O 0.0000 0.0000 7.8384
O 0.0000 0.0000 11.9505
```

Output
The space group is R-3m (166). The value obtained for the density of states at the Fermi level is 0.778 states/eV/cell. The raw total energy comes out at -4.29 eV per atom. The density comes out at 6.9 Mg/m³. For the size of the total moment, the calculation gives 0.0 μB per cell. The calculation puts the formation energy from raw total energies at -18.427 kcal/mol of atoms.

5.
## Cd2TeO4 (GGA-PBE)

Data for crystalline Cd2TeO4 at its relaxed geometry.

```
7
Lattice="5.8258 -1.7345 0.0000 5.8258 1.7345 0.0000 -2.3921 0.0000 5.2576" Properties=species:S:1:pos:R:3 pbc="T T T"
Cd 1.7525 0.0000 0.8521
Cd 7.5071 0.0000 4.4054
Te 4.6298 0.0000 2.6288
O 0.2580 0.0000 2.4394
O 4.0684 0.0000 0.5678
O 5.1911 0.0000 4.6898
O 9.0015 0.0000 2.8182
```

Output
The space group is C2/m (12). The value obtained for the density of states at the Fermi level is 0.449 states/eV/cell. The raw total energy comes out at -4.46 eV per atom. The density comes out at 6.5 Mg/m³. For the size of the total moment, the calculation gives 0.0 μB per cell. The calculation puts the formation energy from raw total energies at -21.149 kcal/mol of atoms.

6.
## Cd12Te3O5 (GGA-PBE)

Data for crystalline Cd12Te3O5 at its relaxed geometry.

```
80
Lattice="-7.6759 7.6759 7.6759 7.6759 -7.6759 7.6759 7.6759 7.6759 -7.6759" Properties=species:S:1:pos:R:3 pbc="T T T"
Cd 2.1418 -0.7379 0.8630
Cd 9.3721 4.7009 -4.5759
Cd 6.9380 -0.8630 2.1418
Cd 12.2517 -1.6962 2.9749
Cd 0.8630 2.1418 -0.7379
Cd 10.6508 3.1000 -1.6962
Cd 9.8177 0.7379 0.8630
Cd 9.3721 -2.9749 4.5759
Cd 4.7009 4.5759 -1.6962
Cd 6.8129 2.1418 0.7379
Cd -0.7379 0.8630 2.1418
Cd 4.5759 -1.6962 4.7009
Cd 6.9380 6.8129 -2.1418
Cd 4.5759 1.6962 2.9749
Cd 6.8129 -2.1418 6.9380
Cd 4.7009 -4.5759 9.3721
Cd 2.1418 6.9380 -0.8630
Cd 9.3721 2.9749 3.1000
Cd 2.9749 4.5759 1.6962
Cd 8.5389 5.5341 0.7379
Cd 4.5759 9.3721 -2.9749
Cd 6.9380 0.8630 5.5341
Cd 1.6962 2.9749 4.5759
Cd 2.1418 0.7379 6.8129
Cd 5.5341 6.9380 0.8630
Cd 5.9797 4.7009 3.1000
Cd 0.7379 6.8129 2.1418
Cd 3.1000 -1.6962 10.6508
Cd -0.8630 2.1418 6.9380
Cd 4.7009 3.1000 5.9797
Cd -1.6962 4.7009 4.5759
Cd 5.5341 0.7379 8.5389
Cd 2.9749 12.2517 -1.6962
Cd 0.8630 9.8177 0.7379
Cd 3.1000 5.9797 4.7009
Cd 0.7379 0.8630 9.8177
Cd 3.1000 9.3721 2.9749
Cd 8.4138 6.8129 5.5341
Cd 0.8630 5.5341 6.9380
Cd 2.9749 3.1000 9.3721
Cd -1.6962 10.6508 3.1000
Cd -2.1418 6.9380 6.8129
Cd -2.9749 4.5759 9.3721
Cd 6.8129 5.5341 8.4138
Cd -4.5759 9.3721 4.7009
Cd 0.7379 8.5389 5.5341
Cd -1.6962 2.9749 12.2517
Cd 5.5341 8.4138 6.8129
Te 3.8379 1.9190 0.0000
Te 7.6759 3.8379 -1.9190
Te 1.9190 0.0000 3.8379
Te 9.5949 0.0000 3.8379
Te 0.0000 3.8379 1.9190
Te 3.8379 -1.9190 7.6759
Te 3.8379 9.5949 0.0000
Te 7.6759 3.8379 5.7569
Te -1.9190 7.6759 3.8379
Te 5.7569 7.6759 3.8379
Te 0.0000 3.8379 9.5949
Te 3.8379 5.7569 7.6759
O 0.0000 0.0000 0.0000
O 3.8379 3.8379 -3.8379
O 3.8379 -3.8379 3.8379
O 7.6759 0.0000 0.0000
O 11.5138 1.9190 0.0000
O 7.6759 -3.8379 5.7569
O 5.7569 7.6759 -3.8379
O 5.7569 0.0000 3.8379
O 3.8379 5.7569 0.0000
O 7.6759 3.8379 1.9190
O -3.8379 3.8379 3.8379
O 0.0000 7.6759 0.0000
O 0.0000 0.0000 7.6759
O 3.8379 3.8379 3.8379
O 0.0000 3.8379 5.7569
O 3.8379 1.9190 7.6759
O 1.9190 7.6759 3.8379
O 1.9190 0.0000 11.5138
O 0.0000 11.5138 1.9190
O -3.8379 5.7569 7.6759
```

Output
The space group is Ia-3d (230). The value obtained for the density of states at the Fermi level is 19.220 states/eV/cell. The raw total energy comes out at -2.67 eV per atom. The density comes out at 6.7 Mg/m³. For the size of the total moment, the calculation gives 0.0 μB per cell. The calculation puts the formation energy from raw total energies at -9.541 kcal/mol of atoms.

Question: size of the total moment of number 6 (Cd12Te3O5)?
Answer: 0.0 μB per cell

Question: Look up the size of the total moment of the sixth one.
Answer: 0.0 μB per cell